PrErTh4: relaxed, GGA-PBE.

Cell: 3.5928 3.5928 15.1529 Å, 90.00 90.00 90.00°
Fractional coordinates of all 6 atoms:
Pr1 0.0000 0.0000 0.0000
Er1 0.5000 0.5000 0.5000
Th1 0.0000 0.0000 0.3355
Th2 0.0000 0.0000 0.6645
Th3 0.5000 0.5000 0.1748
Th4 0.5000 0.5000 0.8252

Calculated values
- N(E_F) (states/eV/atom) = 1.22
- formation energy (eV per atom) = 0.04
- final energy (eV/cell) = -38.755